Li2LaDyAu4: relaxed, PBE.

a = 4.6089 Å, b = 4.6089 Å, c = 9.7360 Å
α = 76.31°, β = 76.31°, γ = 60.00°
Sites, in units of the cell vectors:
Au: 0.1144 0.1144 0.6567
Au: 0.6059 0.6059 0.1823
Au: 0.3941 0.3941 0.8177
Au: 0.8856 0.8856 0.3433
La: 0.0000 0.0000 0.0000
Li: 0.7560 0.7560 0.7321
Li: 0.2440 0.2440 0.2679
Dy: 0.5000 0.5000 0.5000

Computed properties:
* density: 10.633 Mg/m³
* energy relative to the elements: -5.77 eV/f.u.
* E: -4.029 eV per atom